Entry 1:
DFT (GGA-PBEsol) results for crystalline Sc2CoCl at its relaxed geometry.

Computed properties:
As for the space group: Pmmm (47). The value obtained for the energy above the most stable polymorph in this dataset is 0.0 meV per atom. The value obtained for the total DFT energy (no corrections) is -26.2 eV for the cell shown.

abc: 3.0630 3.1689 7.3761
angles: 90.01 90.00 90.00
With the nearest neighbours (Å) after each atom.
Atoms (fractional coordinates):
Co (0.5000, 0.5000, 0.0000)  8 Sc 2.67
Sc (0.0000, 0.0003, 0.2045)  2 Cl 2.66, 4 Co 2.67
Sc (0.0000, 0.9997, 0.7955)  2 Cl 2.66, 4 Co 2.67
Cl (0.5000, 0.0000, 0.5000)  4 Sc 2.66



Entry 2:
DFT (GGA-PBEsol) results for crystalline BeIrPd3 at its relaxed geometry.

Computed properties:
As for the space group: Pm-3m (221). For the formation energy from the elements, the calculation gives 1.615 eV/atom. The value obtained for the total DFT energy (no corrections) is -23.6 eV for the cell shown.

abc: 4.7312 4.7312 4.7312
angles: 90.00 90.00 90.00
With the nearest neighbours (Å) after each atom.
Atoms (fractional coordinates):
Be (0.5000, 0.5000, 0.5000)  12 Pd 3.35
Pd (0.0000, 0.0000, 0.5000)  2 Ir 2.37
Pd (0.0000, 0.5000, 0.0000)  2 Ir 2.37
Pd (0.5000, 0.0000, 0.0000)  2 Ir 2.37
Ir (0.0000, 0.0000, 0.0000)  6 Pd 2.37



Entry 3:
DFT (GGA-PBEsol) results for crystalline Er5Ir3 at its relaxed geometry.

Computed properties:
As for the space group: P4/ncc (130). For the formation energy from the elements, the calculation gives -0.826 eV/atom. The value obtained for the total DFT energy (no corrections) is -242.9 eV for the cell shown.

abc: 6.2016 10.6358 10.6358
angles: 90.00 90.00 90.00
With the nearest neighbours (Å) after each atom.
Atoms (fractional coordinates):
Ir (0.7500, 0.1540, 0.1540)  8 Er 2.79-3.05
Ir (0.3765, 0.0000, 0.5000)  8 Er 2.86-2.87, 2 Ir 3.10
Ir (0.1235, 0.5000, 0.0000)  8 Er 2.86-2.87, 2 Ir 3.10
Ir (0.7500, 0.3460, 0.6540)  8 Er 2.79-3.05
Ir (0.2500, 0.3460, 0.3460)  8 Er 2.79-3.05
Ir (0.7500, 0.8460, 0.8460)  8 Er 2.79-3.05
Ir (0.7500, 0.6540, 0.3460)  8 Er 2.79-3.05
Ir (0.6235, 0.5000, 0.0000)  8 Er 2.86-2.87, 2 Ir 3.10
Ir (0.2500, 0.1540, 0.8460)  8 Er 2.79-3.05
Ir (0.2500, 0.6540, 0.6540)  8 Er 2.79-3.05
Ir (0.8765, 0.0000, 0.5000)  8 Er 2.86-2.87, 2 Ir 3.10
Ir (0.2500, 0.8460, 0.1540)  8 Er 2.79-3.05
Er (0.3760, 0.2909, 0.0872)  5 Ir 2.83-3.05
Er (0.1240, 0.0872, 0.2909)  5 Ir 2.83-3.05
Er (0.8760, 0.5872, 0.7909)  5 Ir 2.83-3.05
Er (0.5000, 0.5000, 0.5000)  4 Ir 2.79, 2 Er 3.10
Er (0.8760, 0.4128, 0.2091)  5 Ir 2.83-3.05
Er (0.6240, 0.0872, 0.7091)  5 Ir 2.83-3.05
Er (0.1240, 0.7909, 0.4128)  5 Ir 2.83-3.05
Er (0.5000, 0.0000, 0.0000)  4 Ir 2.79, 2 Er 3.10
Er (0.6240, 0.2091, 0.4128)  5 Ir 2.83-3.05
Er (0.6240, 0.9128, 0.2909)  5 Ir 2.83-3.05
Er (0.3760, 0.4128, 0.7909)  5 Ir 2.83-3.05
Er (0.1240, 0.9128, 0.7091)  5 Ir 2.83-3.05
Er (0.6240, 0.7909, 0.5872)  5 Ir 2.83-3.05
Er (0.3760, 0.5872, 0.2091)  5 Ir 2.83-3.05
Er (0.0000, 0.5000, 0.5000)  4 Ir 2.79, 2 Er 3.10
Er (0.8760, 0.7091, 0.0872)  5 Ir 2.83-3.05
Er (0.3760, 0.7091, 0.9128)  5 Ir 2.83-3.05
Er (0.8760, 0.2909, 0.9128)  5 Ir 2.83-3.05
Er (0.0000, 0.0000, 0.0000)  4 Ir 2.79, 2 Er 3.10
Er (0.1240, 0.2091, 0.5872)  5 Ir 2.83-3.05



Entry 4:
DFT (GGA-PBEsol) results for crystalline SrRu2Se at its relaxed geometry.

Computed properties:
As for the space group: Imm2 (44). The value obtained for the total DFT energy (no corrections) is -24.6 eV for the cell shown.

abc: 3.0924 4.9214 5.5497
angles: 116.32 106.18 90.00
With the nearest neighbours (Å) after each atom.
Atoms (fractional coordinates):
Ru (0.0314, 0.0314, 0.0628)  2 Ru 2.66, 4 Se 2.97
Ru (0.7597, 0.2597, 0.5194)  2 Se 2.48, 2 Ru 2.66
Sr (0.2435, 0.7435, 0.4870)  8 Ru 2.91-3.17, 4 Se 3.05-3.23, 2 Sr 3.09
Se (0.4654, 0.4654, 0.9308)  2 Ru 2.48



Entry 5:
DFT (GGA-PBEsol) results for crystalline ScCr4Tc at its relaxed geometry.

Computed properties:
As for the space group: F-43m (216). For the formation energy from the elements, the calculation gives 0.057 eV/atom. The value obtained for the total DFT energy (no corrections) is -58.5 eV for the cell shown.

abc: 4.8030 4.8030 4.8030
angles: 60.00 60.00 60.00
With the nearest neighbours (Å) after each atom.
Atoms (fractional coordinates):
Tc (0.0000, 0.0000, 0.0000)  12 Cr 2.81, 4 Sc 2.94
Cr (0.8767, 0.3744, 0.3744)  6 Cr 2.39-2.41
Cr (0.3744, 0.3744, 0.8767)  6 Cr 2.39-2.41
Cr (0.3744, 0.3744, 0.3744)  6 Cr 2.39-2.41
Cr (0.3744, 0.8767, 0.3744)  6 Cr 2.39-2.41
Sc (0.7500, 0.7500, 0.7500)  12 Cr 2.82, 4 Tc 2.94



Entry 6:
DFT (GGA-PBEsol) results for crystalline ZrSc2Cd at its relaxed geometry.

Computed properties:
As for the space group: P4mm (99). For the formation energy from the elements, the calculation gives -0.110 eV/atom. The value obtained for the energy above the most stable polymorph in this dataset is 77.3 meV per atom. The value obtained for the total DFT energy (no corrections) is -23.9 eV for the cell shown.

abc: 3.1770 3.1770 8.7188
angles: 90.00 90.00 90.00
With the nearest neighbours (Å) after each atom.
Atoms (fractional coordinates):
Sc (0.5000, 0.5000, 0.2584)  4 Zr 3.11, 8 Sc 3.18-3.27
Sc (0.0000, 0.0000, 0.9866)  4 Cd 3.05, 8 Sc 3.18-3.27
Zr (0.0000, 0.0000, 0.5043)  4 Sc 3.11, 4 Cd 3.11, 4 Zr 3.18
Cd (0.5000, 0.5000, 0.7506)  4 Sc 3.05, 4 Zr 3.11, 4 Cd 3.18



Entry 7:
DFT (GGA-PBEsol) results for crystalline CaScNO2 at its relaxed geometry.

Computed properties:
As for the space group: P4/mmm (123). The value obtained for the total DFT energy (no corrections) is -36.5 eV for the cell shown.

abc: 4.0520 4.0520 4.1376
angles: 90.00 90.00 90.00
With the nearest neighbours (Å) after each atom.
Atoms (fractional coordinates):
N (0.0000, 0.0000, 0.5000)  2 Sc 2.07
Sc (0.0000, 0.0000, 0.0000)  4 O 2.03, 2 N 2.07
Ca (0.5000, 0.5000, 0.5000)  4 N 2.87, 8 O 2.90
O (0.0000, 0.5000, 0.0000)  2 Sc 2.03
O (0.5000, 0.0000, 0.0000)  2 Sc 2.03



Entry 8:
DFT (GGA-PBEsol) results for crystalline MgFeB2 at its relaxed geometry.

Computed properties:
As for the space group: I4_1/amd (141). For the formation energy from the elements, the calculation gives 0.251 eV/atom. The value obtained for the total DFT energy (no corrections) is -47.4 eV for the cell shown.

abc: 3.7449 3.7449 7.1490
angles: 105.18 105.18 90.00
With the nearest neighbours (Å) after each atom.
Atoms (fractional coordinates):
Mg (0.5000, 0.5000, 0.0000)  4 Fe 2.65, 8 B 2.67
Mg (0.7500, 0.2500, 0.5000)  4 Fe 2.65, 8 B 2.67
Fe (0.2500, 0.7500, 0.5000)  4 B 1.91
Fe (0.0000, 0.0000, 0.0000)  4 B 1.91
B (0.6250, 0.8750, 0.7500)  2 B 1.87, 2 Fe 1.91
B (0.1250, 0.8750, 0.2500)  2 B 1.87, 2 Fe 1.91
B (0.1250, 0.3750, 0.2500)  2 B 1.87, 2 Fe 1.91
B (0.1250, 0.8750, 0.7500)  2 B 1.87, 2 Fe 1.91



Entry 9:
DFT (GGA-PBEsol) results for crystalline DyYMn2O6 at its relaxed geometry.

Computed properties:
As for the space group: P3 (143). The value obtained for the total DFT energy (no corrections) is -268.3 eV for the cell shown.

abc: 6.1039 6.1039 11.3663
angles: 90.00 90.00 120.00
With the nearest neighbours (Å) after each atom.
Atoms (fractional coordinates):
O (0.3333, 0.6667, 0.0226)  3 Mn 2.05, 1 Dy 2.29
O (0.9734, 0.3072, 0.6641)  1 Mn 1.86
O (0.0000, 0.0000, 0.4824)  3 Mn 2.04
O (0.3333, 0.6667, 0.5225)  3 Mn 2.05, 1 Dy 2.29
O (0.0278, 0.6674, 0.8371)  1 Mn 1.87
O (0.0000, 0.0000, 0.9823)  3 Mn 2.04
O (0.6667, 0.3333, 0.9816)  3 Mn 2.05
O (0.6929, 0.0264, 0.1641)  1 Mn 1.86
O (0.3326, 0.3604, 0.8371)  1 Mn 1.87
O (0.9736, 0.6665, 0.1641)  1 Mn 1.86
O (0.6928, 0.6662, 0.6641)  1 Mn 1.86
O (0.6667, 0.3333, 0.4822)  3 Mn 2.04
O (0.0270, 0.3603, 0.3372)  1 Mn 1.87
O (0.6396, 0.9722, 0.8371)  1 Mn 1.87
O (0.3333, 0.9730, 0.3372)  1 Mn 1.87
O (0.3338, 0.0266, 0.6641)  1 Mn 1.86
O (0.3335, 0.3071, 0.1641)  1 Mn 1.86
O (0.6397, 0.6667, 0.3372)  1 Mn 1.87
Dy (0.3333, 0.6667, 0.2242)  7 O 2.27-2.30
Dy (0.3333, 0.6667, 0.7240)  7 O 2.27-2.30
Dy (0.6667, 0.3333, 0.7707)  7 O 2.26-2.40
Y (0.6667, 0.3333, 0.2700)  7 O 2.26-2.41
Y (0.0000, 0.0000, 0.2699)  7 O 2.26-2.42
Y (0.0000, 0.0000, 0.7696)  7 O 2.25-2.42
Mn (0.3330, 0.3329, 0.0007)  5 O 1.86-2.05
Mn (0.6671, 0.0001, 0.0007)  5 O 1.86-2.05
Mn (0.9994, 0.3329, 0.5008)  5 O 1.86-2.05
Mn (0.3335, 0.0006, 0.5008)  5 O 1.86-2.05
Mn (0.9999, 0.6670, 0.0007)  5 O 1.86-2.05
Mn (0.6671, 0.6665, 0.5008)  5 O 1.86-2.05



Entry 10:
DFT (GGA-PBEsol) results for crystalline Zr3CrRu at its relaxed geometry.

Computed properties:
As for the space group: Pm-3m (221). For the formation energy from the elements, the calculation gives 0.767 eV/atom. The value obtained for the total DFT energy (no corrections) is -43.8 eV for the cell shown.

abc: 4.6359 4.6359 4.6359
angles: 90.00 90.00 90.00
With the nearest neighbours (Å) after each atom.
Atoms (fractional coordinates):
Zr (0.5000, 0.0000, 0.0000)  2 Cr 2.32
Zr (0.0000, 0.0000, 0.5000)  2 Cr 2.32
Zr (0.0000, 0.5000, 0.0000)  2 Cr 2.32
Cr (0.0000, 0.0000, 0.0000)  6 Zr 2.32
Ru (0.5000, 0.5000, 0.5000)  12 Zr 3.28



Entry 11:
DFT (GGA-PBEsol) results for crystalline SrCd3 at its relaxed geometry.

Computed properties:
As for the space group: P-6m2 (187). For the formation energy from the elements, the calculation gives -0.025 eV/atom. The value obtained for the total DFT energy (no corrections) is -5.5 eV for the cell shown.

abc: 4.3244 4.3244 7.5139
angles: 90.00 90.00 120.00
With the nearest neighbours (Å) after each atom.
Atoms (fractional coordinates):
Cd (0.0000, 0.0000, 0.7975)  4 Cd 2.92-3.04
Cd (0.0000, 0.0000, 0.2025)  4 Cd 2.92-3.04
Cd (0.3333, 0.6667, 0.0000)  6 Cd 2.92
Sr (0.3333, 0.6667, 0.5000)  6 Cd 3.35



Entry 12:
DFT (GGA-PBEsol) results for crystalline ZrCuSi4 at its relaxed geometry.

Computed properties:
As for the space group: F-43m (216). The value obtained for the total DFT energy (no corrections) is -37.0 eV for the cell shown.

abc: 4.9525 4.9525 4.9525
angles: 60.00 60.00 60.00
With the nearest neighbours (Å) after each atom.
Atoms (fractional coordinates):
Cu (0.0000, 0.0000, 0.0000)  12 Si 2.90, 4 Zr 3.03
Si (0.3743, 0.8770, 0.3743)  6 Si 2.46-2.49
Si (0.3743, 0.3743, 0.3743)  6 Si 2.46-2.49
Si (0.8770, 0.3743, 0.3743)  6 Si 2.46-2.49
Si (0.3743, 0.3743, 0.8770)  6 Si 2.46-2.49
Zr (0.7500, 0.7500, 0.7500)  12 Si 2.91, 4 Cu 3.03